ReMoWF: optimized geometry, PBE+U.

```
ReMoWF
1.0
2.7134 -0.0084 -0.0002
-1.0546 2.6097 -0.0035
-0.5016 -0.5185 8.5329
Re Mo W F
1 1 1 1
Direct
0.8961 0.5397 0.3057
0.4588 0.0966 0.5536
0.1032 0.1875 0.0282
0.0222 0.1479 0.7734
```

**Excess energy over the best structure of this formula in the dataset**: 10.6 meV per atom
**Crystal system**: triclinic
**E**: -6.92 eV per atom